(1)
Below is an optimized crystal structure of BaCd2InAg, with properties calculated at the PBE level.

Summary:
**Theoretical density**: 6828 kg/m³
**Space-group type**: No. 107
**Crystal system**: tetragonal
**E**: -2.1383 eV/atom

Cell: 7.1301 7.1301 7.1301 Å, 141.03 141.03 56.29°
Atoms (fractional coordinates):
Ba1 0.0000 0.0000 0.0000
Cd1 0.2583 0.7583 0.5000
Cd2 0.7583 0.2583 0.5000
In1 0.6159 0.6159 0.0000
Ag1 0.3903 0.3903 0.0000


(2)
Below is an optimized crystal structure of DyI3, with properties calculated at the PBE level.

Summary:
**Theoretical density**: 5380 kg/m³
**Space-group type**: No. 167
**Crystal system**: trigonal
**E**: -3.6351 eV/atom

Cell: 8.1277 8.1277 8.1277 Å, 54.98 54.98 54.98°
Atoms (fractional coordinates):
Dy1 0.0000 0.0000 0.0000
Dy2 0.5000 0.5000 0.5000
I1 0.0829 0.4171 0.7500
I2 0.2500 0.9171 0.5829
I3 0.4171 0.7500 0.0829
I4 0.5829 0.2500 0.9171
I5 0.7500 0.0829 0.4171
I6 0.9171 0.5829 0.2500


(3)
Below is an optimized crystal structure of HfNiGeW, with properties calculated at the PBE level.

Summary:
**Theoretical density**: 12685 kg/m³
**Space-group type**: No. 216
**Crystal system**: cubic
**E**: -7.8739 eV/atom

Cell: 4.5044 4.5044 4.5044 Å, 60.00 60.00 60.00°
Atoms (fractional coordinates):
Hf1 0.0000 0.0000 0.0000
Ni1 0.5000 0.5000 0.5000
Ge1 0.2500 0.2500 0.2500
W1 0.7500 0.7500 0.7500